Here is an optimized crystal structure of B2H6Os from Alexandria. Energies are from PBE.

Output
DFT total energy: -4.111 eV per atom
Crystal system: cubic
Size of the total moment: 0.0000 μB/atom

a b c (Å): 5.809 5.809 5.809
angles (deg): 90.00 90.00 90.00
Space group Fm-3m (No. 225)
Asymmetric unit:
B (0.250, 0.250, 0.250)
H (0.000, 0.000, 0.205)
Os (0.000, 0.000, 0.500)